[1]
Ni6BH3: optimized geometry, GGA-PBE.

## Properties
Total moment: 0.000 μB/f.u.
Total energy: -5.2331 eV per atom

```
data_Ni6BH3
_chemical_formula_sum 'Ni12 B2 H6'
_cell_length_a 7.9313
_cell_length_b 2.6519
_cell_length_c 8.4389
_cell_angle_alpha 90.00
_cell_angle_beta 117.90
_cell_angle_gamma 90.00
_space_group_name_H-M_alt 'P 1 21/m 1'
_space_group_IT_number 11
loop_
_space_group_symop_operation_xyz
'x,y,z'
'-x,-y,-z'
'-x,y+1/2,-z'
'x,-y+1/2,z'
loop_
_atom_site_label
_atom_site_fract_x
_atom_site_fract_y
_atom_site_fract_z
Ni1 0.0169 0.2500 0.2854
Ni2 0.1428 0.7500 0.0976
Ni3 0.2142 0.2500 0.6324
Ni4 0.3317 0.7500 0.4353
Ni5 0.3354 0.7500 0.9262
Ni6 0.4473 0.2500 0.2163
B1 0.1348 0.2500 0.9128
H1 0.1409 0.7500 0.4812
H2 0.4340 0.2500 0.4007
H3 0.4427 0.2500 0.8332
```

***

[2]
YHoTm2: optimized geometry, GGA-PBE.

## Properties
Total moment: 0.000 μB/f.u.
Energy above the most stable polymorph in this dataset: 9.0 meV/atom
Formation energy from the elements: 0.012 eV per atom

```
data_YHoTm2
_chemical_formula_sum 'Y3 Ho3 Tm6'
_cell_length_a 3.5498
_cell_length_b 3.5498
_cell_length_c 33.9633
_cell_angle_alpha 90.00
_cell_angle_beta 90.00
_cell_angle_gamma 120.00
_space_group_name_H-M_alt 'R 3 m'
_space_group_IT_number 160
_space_group_name_Hall 'R 3 -2"'
loop_
_atom_site_label
_atom_site_fract_x
_atom_site_fract_y
_atom_site_fract_z
Y1 0.0000 0.0000 0.0000
Ho1 0.0000 0.0000 0.8343
Tm1 0.0000 0.0000 0.4179
Tm2 0.0000 0.0000 0.5829
```

***

[3]
ErLuN: optimized geometry, GGA-PBE.

## Properties
Total moment: 0.000 μB/f.u.
Energy above the most stable polymorph in this dataset: 1299.6 meV/atom
Raw formation energy: 19 kJ/mol of atoms

```
data_ErLuN
_chemical_formula_sum 'Er2 Lu2 N2'
_cell_length_a 4.5881
_cell_length_b 4.5881
_cell_length_c 7.5816
_cell_angle_alpha 90.00
_cell_angle_beta 90.00
_cell_angle_gamma 90.00
_space_group_name_H-M_alt 'I 4 m m'
_space_group_IT_number 107
_space_group_name_Hall 'I 4 -2'
loop_
_atom_site_label
_atom_site_fract_x
_atom_site_fract_y
_atom_site_fract_z
Er1 0.0000 0.0000 0.0000
Lu1 0.0000 0.0000 0.4663
N1 0.0000 0.0000 0.7312
```

***

[4]
Rb2DySe2O6: optimized geometry, GGA-PBE.

## Properties
Total moment: 0.000 μB/f.u.
Raw formation energy: -151 kJ/mol of atoms

```
data_Rb2DySe2O6
_chemical_formula_sum 'Rb4 Dy2 Se4 O12'
_cell_length_a 9.6914
_cell_length_b 6.2732
_cell_length_c 7.3932
_cell_angle_alpha 90.00
_cell_angle_beta 111.65
_cell_angle_gamma 90.00
_space_group_name_H-M_alt 'C 1 2/m 1'
_space_group_IT_number 12
loop_
_space_group_symop_operation_xyz
'x,y,z'
'-x,-y,-z'
'-x,y,-z'
'x,-y,z'
'x+1/2,y+1/2,z'
'-x+1/2,-y+1/2,-z'
'-x+1/2,y+1/2,-z'
'x+1/2,-y+1/2,z'
loop_
_atom_site_label
_atom_site_fract_x
_atom_site_fract_y
_atom_site_fract_z
Rb1 0.2045 0.0000 0.1503
Dy1 0.0000 0.0000 0.5000
Se1 0.0781 0.5000 0.2411
O1 0.0112 0.2496 0.7322
O2 0.2490 0.5000 0.4321
```

***

[5]
NdDy4Te5: optimized geometry, GGA-PBE.

## Properties
Total moment: 0.000 μB/f.u.
Energy above the most stable polymorph in this dataset: 3.2 meV/atom
Raw formation energy: -126 kJ/mol of atoms

```
data_NdDy4Te5
_chemical_formula_sum 'Nd2 Dy8 Te10'
_cell_length_a 4.3574
_cell_length_b 4.3574
_cell_length_c 31.3960
_cell_angle_alpha 90.00
_cell_angle_beta 90.00
_cell_angle_gamma 90.00
_space_group_name_H-M_alt 'I 4/m m m'
_space_group_IT_number 139
_space_group_name_Hall '-I 4 2'
loop_
_atom_site_label
_atom_site_fract_x
_atom_site_fract_y
_atom_site_fract_z
Nd1 0.0000 0.0000 0.0000
Dy1 0.0000 0.0000 0.2082
Dy2 0.0000 0.0000 0.4052
Te1 0.0000 0.0000 0.1047
Te2 0.0000 0.0000 0.3054
Te3 0.0000 0.0000 0.5000
```

***

[6]
ZrAlNi: optimized geometry, GGA-PBE.

## Properties
Total moment: 0.000 μB/f.u.
Formation energy from the elements: -0.340 eV per atom

```
data_ZrAlNi
_chemical_formula_sum 'Zr3 Al3 Ni3'
_cell_length_a 7.6305
_cell_length_b 7.6305
_cell_length_c 2.9143
_cell_angle_alpha 90.00
_cell_angle_beta 90.00
_cell_angle_gamma 120.00
_space_group_name_H-M_alt 'P -6 2 m'
_space_group_IT_number 189
_space_group_name_Hall 'P -6 -2'
loop_
_atom_site_label
_atom_site_fract_x
_atom_site_fract_y
_atom_site_fract_z
Zr1 0.0000 0.2897 0.0000
Al1 0.0000 0.6245 0.5000
Ni1 0.0000 0.0000 0.5000
Ni2 0.3333 0.6667 0.0000
```

***

[7]
CaSi: optimized geometry, GGA-PBE.

## Properties
Total moment: 0.000 μB/f.u.
Raw formation energy: -45 kJ/mol of atoms

```
data_CaSi
_chemical_formula_sum 'Ca8 Si8'
_cell_length_a 5.9404
_cell_length_b 5.9853
_cell_length_c 10.6605
_cell_angle_alpha 90.00
_cell_angle_beta 90.00
_cell_angle_gamma 90.00
_space_group_name_H-M_alt 'P 21 21 21'
_space_group_IT_number 19
loop_
_space_group_symop_operation_xyz
'x,y,z'
'-x+1/2,-y,z+1/2'
'x+1/2,-y+1/2,-z'
'-x,y+1/2,-z+1/2'
loop_
_atom_site_label
_atom_site_fract_x
_atom_site_fract_y
_atom_site_fract_z
Ca1 0.0991 0.0972 0.0672
Ca2 0.1654 0.3470 0.7208
Si1 0.0973 0.5616 0.9693
Si2 0.1688 0.1583 0.3617
```

***

[8]
EuHo2Sb: optimized geometry, GGA-PBE.

## Properties
Total moment: 6.988 μB/f.u.
Energy above the most stable polymorph in this dataset: 201.6 meV/atom
Raw formation energy: -23 kJ/mol of atoms

```
data_EuHo2Sb
_chemical_formula_sum 'Eu4 Ho8 Sb4'
_cell_length_a 7.6607
_cell_length_b 7.6607
_cell_length_c 7.6607
_cell_angle_alpha 90.00
_cell_angle_beta 90.00
_cell_angle_gamma 90.00
_space_group_name_H-M_alt 'F m -3 m'
_space_group_IT_number 225
_space_group_name_Hall '-F 4 2 3'
loop_
_atom_site_label
_atom_site_fract_x
_atom_site_fract_y
_atom_site_fract_z
Eu1 0.0000 0.0000 0.0000
Ho1 0.2500 0.2500 0.2500
Sb1 0.0000 0.0000 0.5000
```

***

[9]
Ba2TlZn4In3: optimized geometry, GGA-PBE.

## Properties
Total moment: 0.000 μB/f.u.
Formation energy from the elements: -0.275 eV per atom

```
data_Ba2TlZn4In3
_chemical_formula_sum 'Ba2 Tl1 Zn4 In3'
_cell_length_a 4.8076
_cell_length_b 4.8076
_cell_length_c 11.5632
_cell_angle_alpha 90.00
_cell_angle_beta 90.00
_cell_angle_gamma 90.00
_space_group_name_H-M_alt 'P -4 m 2'
_space_group_IT_number 115
loop_
_space_group_symop_operation_xyz
'x,y,z'
'y,-x,-z'
'-x,-y,z'
'-y,x,-z'
'-x,y,z'
'-y,-x,-z'
'x,-y,z'
'y,x,-z'
loop_
_atom_site_label
_atom_site_fract_x
_atom_site_fract_y
_atom_site_fract_z
Ba1 0.0000 0.5000 0.2428
Tl1 0.0000 0.0000 0.5000
Zn1 0.0000 0.0000 0.0000
Zn2 0.0000 0.5000 0.6388
Zn3 0.5000 0.5000 0.0000
In1 0.0000 0.5000 0.8762
In2 0.5000 0.5000 0.5000
```

***

[10]
Tb2SmDy: optimized geometry, GGA-PBE.

## Properties
Total moment: 0.000 μB/f.u.
Energy above the most stable polymorph in this dataset: 3.8 meV/atom
Formation energy from the elements: 0.016 eV per atom

```
data_Tb2SmDy
_chemical_formula_sum 'Tb4 Sm2 Dy2'
_cell_length_a 5.6955
_cell_length_b 7.2922
_cell_length_c 6.3016
_cell_angle_alpha 90.00
_cell_angle_beta 90.00
_cell_angle_gamma 90.00
_space_group_name_H-M_alt 'P m m n'
_space_group_IT_number 59
loop_
_space_group_symop_operation_xyz
'x,y,z'
'-x,-y,-z'
'-x+1/2,-y+1/2,z'
'x+1/2,y+1/2,-z'
'x+1/2,-y,-z'
'-x+1/2,y,z'
'-x,y+1/2,-z'
'x,-y+1/2,z'
loop_
_atom_site_label
_atom_site_fract_x
_atom_site_fract_y
_atom_site_fract_z
Tb1 0.2500 0.0007 0.1661
Sm1 0.2500 0.2500 0.6662
Dy1 0.2500 0.7500 0.6674
```

***

[11]
Tl3PAu8: optimized geometry, GGA-PBE.

## Properties
Total moment: 0.000 μB/f.u.
Formation energy from the elements: 0.103 eV per atom

```
data_Tl3PAu8
_chemical_formula_sum 'Tl6 P2 Au16'
_cell_length_a 10.0208
_cell_length_b 10.0208
_cell_length_c 5.7945
_cell_angle_alpha 90.00
_cell_angle_beta 90.00
_cell_angle_gamma 120.00
_space_group_name_H-M_alt 'P 63 m c'
_space_group_IT_number 186
_space_group_name_Hall 'P 6c -2c'
loop_
_atom_site_label
_atom_site_fract_x
_atom_site_fract_y
_atom_site_fract_z
Tl1 0.1520 0.3040 0.0000
P1 0.3333 0.6667 0.2719
Au1 0.0000 0.0000 0.2230
Au2 0.0015 0.5007 0.2673
Au3 0.2122 0.4244 0.5126
Au4 0.3333 0.6667 0.8610
```

***

[12]
Mn2TcP: optimized geometry, GGA-PBE.

## Properties
Total moment: 0.011 μB/f.u.
Energy above the most stable polymorph in this dataset: 47.6 meV/atom
Formation energy from the elements: -0.208 eV per atom

```
data_Mn2TcP
_chemical_formula_sum 'Mn4 Tc2 P2'
_cell_length_a 8.3683
_cell_length_b 2.9704
_cell_length_c 4.3256
_cell_angle_alpha 90.00
_cell_angle_beta 106.52
_cell_angle_gamma 90.00
_space_group_name_H-M_alt 'C 1 m 1'
_space_group_IT_number 8
loop_
_space_group_symop_operation_xyz
'x,y,z'
'x,-y,z'
'x+1/2,y+1/2,z'
'x+1/2,-y+1/2,z'
loop_
_atom_site_label
_atom_site_fract_x
_atom_site_fract_y
_atom_site_fract_z
Mn1 0.0000 0.0000 0.0000
Mn2 0.2397 0.5000 0.1328
Tc1 0.2191 0.0000 0.6154
P1 0.4871 0.0000 0.4895
```

***

[13]
BaY2Mn: optimized geometry, GGA-PBE.

## Properties
Total moment: 2.779 μB/f.u.
Energy above the most stable polymorph in this dataset: 291.9 meV/atom
Formation energy from the elements: 0.503 eV per atom

```
data_BaY2Mn
_chemical_formula_sum 'Ba1 Y2 Mn1'
_cell_length_a 4.9241
_cell_length_b 4.9241
_cell_length_c 5.3087
_cell_angle_alpha 90.00
_cell_angle_beta 90.00
_cell_angle_gamma 90.00
_space_group_name_H-M_alt 'P 4/m m m'
_space_group_IT_number 123
_space_group_name_Hall '-P 4 2'
loop_
_atom_site_label
_atom_site_fract_x
_atom_site_fract_y
_atom_site_fract_z
Ba1 0.0000 0.0000 0.0000
Y1 0.0000 0.5000 0.5000
Mn1 0.5000 0.5000 0.0000
```

***

[14]
CdBiPt2: optimized geometry, GGA-PBE.

## Properties
Total moment: 0.000 μB/f.u.
Formation energy from the elements: -0.115 eV per atom

```
data_CdBiPt2
_chemical_formula_sum 'Cd1 Bi1 Pt2'
_cell_length_a 4.9813
_cell_length_b 4.9813
_cell_length_c 3.2016
_cell_angle_alpha 90.00
_cell_angle_beta 90.00
_cell_angle_gamma 90.00
_space_group_name_H-M_alt 'P 4/m m m'
_space_group_IT_number 123
_space_group_name_Hall '-P 4 2'
loop_
_atom_site_label
_atom_site_fract_x
_atom_site_fract_y
_atom_site_fract_z
Cd1 0.0000 0.0000 0.0000
Bi1 0.5000 0.5000 0.0000
Pt1 0.0000 0.5000 0.5000
```

***

[15]
Zn3GaIr2: optimized geometry, GGA-PBE.

## Properties
Total moment: 0.000 μB/f.u.
Formation energy from the elements: -0.225 eV per atom

```
data_Zn3GaIr2
_chemical_formula_sum 'Zn12 Ga4 Ir8'
_cell_length_a 5.0742
_cell_length_b 9.7031
_cell_length_c 8.4234
_cell_angle_alpha 90.00
_cell_angle_beta 103.40
_cell_angle_gamma 90.00
_space_group_name_H-M_alt 'C 1 2/c 1'
_space_group_IT_number 15
loop_
_space_group_symop_operation_xyz
'x,y,z'
'-x,-y,-z'
'-x,y,-z+1/2'
'x,-y,z+1/2'
'x+1/2,y+1/2,z'
'-x+1/2,-y+1/2,-z'
'-x+1/2,y+1/2,-z+1/2'
'x+1/2,-y+1/2,z+1/2'
loop_
_atom_site_label
_atom_site_fract_x
_atom_site_fract_y
_atom_site_fract_z
Zn1 0.0000 0.2178 0.2500
Zn2 0.1114 0.1241 0.9570
Ga1 0.0000 0.4799 0.7500
Ir1 0.1326 0.3725 0.5078
```

***

[16]
Ti2PI2: optimized geometry, GGA-PBE.

## Properties
Total moment: 0.000 μB/f.u.
Raw formation energy: -91 kJ/mol of atoms

```
data_Ti2PI2
_chemical_formula_sum 'Ti6 P3 I6'
_cell_length_a 3.7803
_cell_length_b 3.7803
_cell_length_c 31.2004
_cell_angle_alpha 90.00
_cell_angle_beta 90.00
_cell_angle_gamma 120.00
_space_group_name_H-M_alt 'R -3 m'
_space_group_IT_number 166
_space_group_name_Hall '-R 3 2"'
loop_
_atom_site_label
_atom_site_fract_x
_atom_site_fract_y
_atom_site_fract_z
Ti1 0.0000 0.0000 0.1303
P1 0.0000 0.0000 0.5000
I1 0.0000 0.0000 0.2648
```

***

| no. | mass density (g/cm³) |
| --- | --- |
| 1 | 7.75 |
| 2 | 7.95 |
| 3 | 7.41 |
| 4 | 4.67 |
| 5 | 7.98 |
| 6 | 6.00 |
| 7 | 2.39 |
| 8 | 8.92 |
| 9 | 6.74 |
| 10 | 8.00 |
| 11 | 14.63 |
| 12 | 7.70 |
| 13 | 4.77 |
| 14 | 14.87 |
| 15 | 10.71 |
| 16 | 4.91 |